1.
# LaPr2Dy2Tm, optimized geometry, DFT PBE
data_LaPr2Dy2Tm
_space_group_name_H-M_alt 'P m m a'
_space_group_IT_number 51
_cell_length_a 7.103
_cell_length_b 5.731
_cell_length_c 9.944
_cell_angle_alpha 90.00
_cell_angle_beta 90.00
_cell_angle_gamma 90.00
loop_
_space_group_symop_operation_xyz
'x,y,z'
'-x,-y,-z'
'-x+1/2,-y,z'
'x+1/2,y,-z'
'x+1/2,-y,-z'
'-x+1/2,y,z'
'-x,y,-z'
'x,-y,z'
loop_
_atom_site_label
_atom_site_type_symbol
_atom_site_fract_x
_atom_site_fract_y
_atom_site_fract_z
La1 La 0.250 0.000 0.153
Pr1 Pr 0.000 0.000 0.500
Pr2 Pr 0.250 0.500 0.680
Dy1 Dy 0.250 0.000 0.827
Dy2 Dy 0.250 0.500 0.338
Tm1 Tm 0.000 0.500 0.000
# - energy (eV/cell) = -55.53

2.
# LaPr5Dy2Tm, optimized geometry, DFT PBE
data_LaPr5Dy2Tm
_space_group_name_H-M_alt 'I 4/m c m'
_space_group_IT_number 140
_space_group_name_Hall '-I 4 2c'
_cell_length_a 9.524
_cell_length_b 9.524
_cell_length_c 14.187
_cell_angle_alpha 90.00
_cell_angle_beta 90.00
_cell_angle_gamma 90.00
loop_
_atom_site_label
_atom_site_type_symbol
_atom_site_fract_x
_atom_site_fract_y
_atom_site_fract_z
La1 La 0.000 0.000 0.250
Pr1 Pr 0.000 0.000 0.000
Pr2 Pr 0.202 0.298 0.132
Dy1 Dy 0.108 0.392 0.500
Tm1 Tm 0.000 0.500 0.250
# - energy (eV/cell) = -159.80

3.
# La2Pr6Dy3Tm, optimized geometry, DFT PBE
data_La2Pr6Dy3Tm
_space_group_name_H-M_alt 'C 1 2/m 1'
_space_group_IT_number 12
_cell_length_a 6.351
_cell_length_b 11.005
_cell_length_c 12.072
_cell_angle_alpha 90.00
_cell_angle_beta 100.13
_cell_angle_gamma 90.00
loop_
_space_group_symop_operation_xyz
'x,y,z'
'-x,-y,-z'
'-x,y,-z'
'x,-y,z'
'x+1/2,y+1/2,z'
'-x+1/2,-y+1/2,-z'
'-x+1/2,y+1/2,-z'
'x+1/2,-y+1/2,z'
loop_
_atom_site_label
_atom_site_type_symbol
_atom_site_fract_x
_atom_site_fract_y
_atom_site_fract_z
La1 La 0.000 0.167 0.000
Pr1 Pr 0.247 0.500 0.746
Pr2 Pr 0.250 0.166 0.746
Dy1 Dy 0.000 0.000 0.500
Dy2 Dy 0.000 0.334 0.500
Tm1 Tm 0.000 0.500 0.000
# - energy (eV/cell) = -113.21

4.
# La2PrDy3Tm6, optimized geometry, DFT PBE
data_La2PrDy3Tm6
_space_group_name_H-M_alt 'C 1 2/m 1'
_space_group_IT_number 12
_cell_length_a 6.189
_cell_length_b 10.714
_cell_length_c 11.727
_cell_angle_alpha 90.00
_cell_angle_beta 100.10
_cell_angle_gamma 90.00
loop_
_space_group_symop_operation_xyz
'x,y,z'
'-x,-y,-z'
'-x,y,-z'
'x,-y,z'
'x+1/2,y+1/2,z'
'-x+1/2,-y+1/2,-z'
'-x+1/2,y+1/2,-z'
'x+1/2,-y+1/2,z'
loop_
_atom_site_label
_atom_site_type_symbol
_atom_site_fract_x
_atom_site_fract_y
_atom_site_fract_z
La1 La 0.000 0.167 0.000
Pr1 Pr 0.000 0.500 0.000
Dy1 Dy 0.000 0.000 0.500
Dy2 Dy 0.000 0.333 0.500
Tm1 Tm 0.248 0.166 0.745
Tm2 Tm 0.248 0.500 0.745
# - energy (eV/cell) = -109.92

5.
# La3PrDy6Y2, optimized geometry, DFT PBE
data_La3PrDy6Y2
_space_group_name_H-M_alt 'C 1 2/m 1'
_space_group_IT_number 12
_cell_length_a 6.262
_cell_length_b 10.848
_cell_length_c 11.929
_cell_angle_alpha 90.00
_cell_angle_beta 100.07
_cell_angle_gamma 90.00
loop_
_space_group_symop_operation_xyz
'x,y,z'
'-x,-y,-z'
'-x,y,-z'
'x,-y,z'
'x+1/2,y+1/2,z'
'-x+1/2,-y+1/2,-z'
'-x+1/2,y+1/2,-z'
'x+1/2,-y+1/2,z'
loop_
_atom_site_label
_atom_site_type_symbol
_atom_site_fract_x
_atom_site_fract_y
_atom_site_fract_z
La1 La 0.000 0.000 0.000
La2 La 0.000 0.333 0.000
Pr1 Pr 0.000 0.500 0.500
Dy1 Dy 0.249 0.000 0.747
Dy2 Dy 0.249 0.333 0.747
Y1 Y 0.000 0.167 0.500
# - energy (eV/cell) = -119.75

6.
# La3PrDy2Y6, optimized geometry, DFT PBE
data_La3PrDy2Y6
_space_group_name_H-M_alt 'C 1 2/m 1'
_space_group_IT_number 12
_cell_length_a 6.282
_cell_length_b 10.882
_cell_length_c 11.927
_cell_angle_alpha 90.00
_cell_angle_beta 100.10
_cell_angle_gamma 90.00
loop_
_space_group_symop_operation_xyz
'x,y,z'
'-x,-y,-z'
'-x,y,-z'
'x,-y,z'
'x+1/2,y+1/2,z'
'-x+1/2,-y+1/2,-z'
'-x+1/2,y+1/2,-z'
'x+1/2,-y+1/2,z'
loop_
_atom_site_label
_atom_site_type_symbol
_atom_site_fract_x
_atom_site_fract_y
_atom_site_fract_z
La1 La 0.000 0.000 0.000
La2 La 0.000 0.333 0.000
Pr1 Pr 0.000 0.500 0.500
Dy1 Dy 0.000 0.167 0.500
Y1 Y 0.248 0.000 0.746
Y2 Y 0.249 0.333 0.746
# - energy (eV/cell) = -134.73

7.
# LaPr2Dy2Y4, optimized geometry, DFT PBE
data_LaPr2Dy2Y4
_space_group_name_H-M_alt 'C 1 2/m 1'
_space_group_IT_number 12
_cell_length_a 18.932
_cell_length_b 3.649
_cell_length_c 9.678
_cell_angle_alpha 90.00
_cell_angle_beta 115.74
_cell_angle_gamma 90.00
loop_
_space_group_symop_operation_xyz
'x,y,z'
'-x,-y,-z'
'-x,y,-z'
'x,-y,z'
'x+1/2,y+1/2,z'
'-x+1/2,-y+1/2,-z'
'-x+1/2,y+1/2,-z'
'x+1/2,-y+1/2,z'
loop_
_atom_site_label
_atom_site_type_symbol
_atom_site_fract_x
_atom_site_fract_y
_atom_site_fract_z
La1 La 0.000 0.000 0.000
Pr1 Pr 0.167 0.500 0.999
Dy1 Dy 0.147 0.000 0.663
Y1 Y 0.020 0.500 0.338
Y2 Y 0.186 0.000 0.337
# - energy (eV/cell) = -99.18

8.
# LaPr4Dy2Y2, optimized geometry, DFT PBE
data_LaPr4Dy2Y2
_space_group_name_H-M_alt 'C 1 2/m 1'
_space_group_IT_number 12
_cell_length_a 15.470
_cell_length_b 5.160
_cell_length_c 8.145
_cell_angle_alpha 90.00
_cell_angle_beta 108.09
_cell_angle_gamma 90.00
loop_
_space_group_symop_operation_xyz
'x,y,z'
'-x,-y,-z'
'-x,y,-z'
'x,-y,z'
'x+1/2,y+1/2,z'
'-x+1/2,-y+1/2,-z'
'-x+1/2,y+1/2,-z'
'x+1/2,-y+1/2,z'
loop_
_atom_site_label
_atom_site_type_symbol
_atom_site_fract_x
_atom_site_fract_y
_atom_site_fract_z
La1 La 0.000 0.000 0.000
Pr1 Pr 0.055 0.500 0.332
Pr2 Pr 0.223 0.000 0.331
Dy1 Dy 0.169 0.500 0.999
Y1 Y 0.112 0.000 0.667
# - energy (eV/cell) = -92.03

9.
# La5PrDyY2, optimized geometry, DFT PBE
data_La5PrDyY2
_space_group_name_H-M_alt 'I 4/m c m'
_space_group_IT_number 140
_space_group_name_Hall '-I 4 2c'
_cell_length_a 9.610
_cell_length_b 9.610
_cell_length_c 14.111
_cell_angle_alpha 90.00
_cell_angle_beta 90.00
_cell_angle_gamma 90.00
loop_
_atom_site_label
_atom_site_type_symbol
_atom_site_fract_x
_atom_site_fract_y
_atom_site_fract_z
La1 La 0.000 0.000 0.000
La2 La 0.202 0.298 0.138
Pr1 Pr 0.000 0.000 0.250
Dy1 Dy 0.000 0.500 0.250
Y1 Y 0.108 0.392 0.500
# - energy (eV/cell) = -177.47

10.
# LaPr2DyY2, optimized geometry, DFT PBE
data_LaPr2DyY2
_space_group_name_H-M_alt 'P n n m'
_space_group_IT_number 58
_cell_length_a 6.660
_cell_length_b 18.394
_cell_length_c 3.434
_cell_angle_alpha 90.00
_cell_angle_beta 90.00
_cell_angle_gamma 90.00
loop_
_space_group_symop_operation_xyz
'x,y,z'
'-x,-y,-z'
'-x,-y,z'
'x,y,-z'
'x+1/2,-y+1/2,-z+1/2'
'-x+1/2,y+1/2,z+1/2'
'-x+1/2,y+1/2,-z+1/2'
'x+1/2,-y+1/2,z+1/2'
loop_
_atom_site_label
_atom_site_type_symbol
_atom_site_fract_x
_atom_site_fract_y
_atom_site_fract_z
La1 La 0.000 0.000 0.000
Pr1 Pr 0.219 0.187 0.000
Dy1 Dy 0.000 0.500 0.000
Y1 Y 0.214 0.354 0.500
# - energy (eV/cell) = -60.87

11.
# La2PrDyY, optimized geometry, DFT PBE
data_La2PrDyY
_space_group_name_H-M_alt 'C m c m'
_space_group_IT_number 63
_space_group_name_Hall '-C 2c 2'
_cell_length_a 6.936
_cell_length_b 9.574
_cell_length_c 11.137
_cell_angle_alpha 90.00
_cell_angle_beta 90.00
_cell_angle_gamma 90.00
loop_
_atom_site_label
_atom_site_type_symbol
_atom_site_fract_x
_atom_site_fract_y
_atom_site_fract_z
La1 La 0.246 0.000 0.000
Pr1 Pr 0.000 0.404 0.250
Dy1 Dy 0.000 0.095 0.250
Y1 Y 0.000 0.246 0.750
# - energy (eV/cell) = -96.46

12.
# La3Pr6Dy2Y, optimized geometry, DFT PBE
data_La3Pr6Dy2Y
_space_group_name_H-M_alt 'C 1 2/m 1'
_space_group_IT_number 12
_cell_length_a 6.388
_cell_length_b 11.076
_cell_length_c 12.166
_cell_angle_alpha 90.00
_cell_angle_beta 100.12
_cell_angle_gamma 90.00
loop_
_space_group_symop_operation_xyz
'x,y,z'
'-x,-y,-z'
'-x,y,-z'
'x,-y,z'
'x+1/2,y+1/2,z'
'-x+1/2,-y+1/2,-z'
'-x+1/2,y+1/2,-z'
'x+1/2,-y+1/2,z'
loop_
_atom_site_label
_atom_site_type_symbol
_atom_site_fract_x
_atom_site_fract_y
_atom_site_fract_z
La1 La 0.000 0.000 0.000
La2 La 0.000 0.333 0.000
Pr1 Pr 0.248 0.000 0.744
Pr2 Pr 0.249 0.333 0.744
Dy1 Dy 0.000 0.167 0.500
Y1 Y 0.000 0.500 0.500
# - energy (eV/cell) = -117.86

Quick rundown of DFT formation energy, same order as above: 0.07; 0.28; 0.02; 0.03; 0.02; 0.02; 0.00; 0.02; 0.29; 0.26; 0.32; 0.02 eV/atom
Quick rundown of magnetic moment, same order as above: 0.00; 0.00; 0.00; 0.00; 0.00; 0.00; 0.01; 0.00; 0.00; 0.01; 0.00; 0.00 μB/cell